Material: KMgNb
Method: DFT, PBE
State: optimized geometry

Output
E_tot in eV per atom: -3.6733
Energy of formation from the pure elements in kcal/mol of atoms: 13.4
Energy above the most stable polymorph in this dataset in meV/atom: 265

```
data_KMgNb
_chemical_formula_sum 'K2 Mg2 Nb2'
_cell_length_a 3.259
_cell_length_b 6.469
_cell_length_c 9.347
_cell_angle_alpha 106.20
_cell_angle_beta 90.00
_cell_angle_gamma 104.55
_symmetry_space_group_name_H-M 'P 1'
_symmetry_Int_Tables_number 1
loop_
_symmetry_equiv_pos_as_xyz
'x,y,z'
loop_
_atom_site_label
_atom_site_type_symbol
_atom_site_fract_x
_atom_site_fract_y
_atom_site_fract_z
K1 K 0.000 0.000 0.000
K2 K 0.310 0.620 0.252
Mg1 Mg 0.624 0.233 0.440
Mg2 Mg 0.999 0.983 0.623
Nb1 Nb 0.299 0.583 0.658
Nb2 Nb 0.704 0.396 0.794
```


Material: KMgNb
Method: DFT, PBE
State: optimized geometry

Output
E_tot in eV per atom: -3.1415
Energy of formation from the pure elements in kcal/mol of atoms: 25.7
Energy above the most stable polymorph in this dataset in meV/atom: 797

```
data_KMgNb
_chemical_formula_sum 'K1 Mg1 Nb1'
_cell_length_a 5.7004
_cell_length_b 5.7004
_cell_length_c 2.7990
_cell_angle_alpha 90.00
_cell_angle_beta 90.00
_cell_angle_gamma 120.00
_symmetry_space_group_name_H-M 'P -6 m 2'
_symmetry_Int_Tables_number 187
_symmetry_space_group_name_Hall 'P -6 2'
loop_
_atom_site_label
_atom_site_type_symbol
_atom_site_fract_x
_atom_site_fract_y
_atom_site_fract_z
K1 K 0.0000 0.0000 0.0000
Mg1 Mg 0.3333 0.6667 0.5000
Nb1 Nb 0.6667 0.3333 0.5000
```


Material: KMgNb
Method: DFT, PBE
State: optimized geometry

Output
E_tot in eV per atom: -2.2981
Energy of formation from the pure elements in kcal/mol of atoms: 45.1
Energy above the most stable polymorph in this dataset in meV/atom: 1640

```
data_KMgNb
_chemical_formula_sum 'K2 Mg2 Nb2'
_cell_length_a 6.0172
_cell_length_b 6.0172
_cell_length_c 11.4716
_cell_angle_alpha 90.00
_cell_angle_beta 90.00
_cell_angle_gamma 120.00
_symmetry_space_group_name_H-M 'P 63/m m c'
_symmetry_Int_Tables_number 194
_symmetry_space_group_name_Hall '-P 6c 2c'
loop_
_atom_site_label
_atom_site_type_symbol
_atom_site_fract_x
_atom_site_fract_y
_atom_site_fract_z
K1 K 0.3333 0.6667 0.2500
Mg1 Mg 0.0000 0.0000 0.2500
Nb1 Nb 0.0000 0.0000 0.0000
```


Material: KMgNb
Method: DFT, PBE
State: optimized geometry

Output
E_tot in eV per atom: -3.5383
Energy of formation from the pure elements in kcal/mol of atoms: 16.5
Energy above the most stable polymorph in this dataset in meV/atom: 400

```
data_KMgNb
_chemical_formula_sum 'K4 Mg4 Nb4'
_cell_length_a 5.086
_cell_length_b 5.352
_cell_length_c 13.853
_cell_angle_alpha 90.00
_cell_angle_beta 90.00
_cell_angle_gamma 90.00
_symmetry_space_group_name_H-M 'P n m a'
_symmetry_Int_Tables_number 62
loop_
_symmetry_equiv_pos_as_xyz
'x,y,z'
'-x,-y,-z'
'-x+1/2,-y,z+1/2'
'x+1/2,y,-z+1/2'
'x+1/2,-y+1/2,-z+1/2'
'-x+1/2,y+1/2,z+1/2'
'-x,y+1/2,-z'
'x,-y+1/2,z'
loop_
_atom_site_label
_atom_site_type_symbol
_atom_site_fract_x
_atom_site_fract_y
_atom_site_fract_z
K1 K 0.242 0.250 0.024
Mg1 Mg 0.241 0.250 0.298
Nb1 Nb 0.020 0.250 0.746
```


Material: KMgNb3
Method: DFT, PBE
State: optimized geometry

Output
E_tot in eV per atom: -4.1672
Energy of formation from the pure elements in kcal/mol of atoms: 55.6
Energy above the most stable polymorph in this dataset in meV/atom: 405

```
data_KMgNb3
_chemical_formula_sum 'K1 Mg1 Nb3'
_cell_length_a 4.686
_cell_length_b 4.686
_cell_length_c 4.686
_cell_angle_alpha 90.00
_cell_angle_beta 90.00
_cell_angle_gamma 90.00
_symmetry_space_group_name_H-M 'P m -3 m'
_symmetry_Int_Tables_number 221
_symmetry_space_group_name_Hall '-P 4 2 3'
loop_
_atom_site_label
_atom_site_type_symbol
_atom_site_fract_x
_atom_site_fract_y
_atom_site_fract_z
K1 K 0.000 0.000 0.000
Mg1 Mg 0.500 0.500 0.500
Nb1 Nb 0.000 0.000 0.500
```


Material: KMgNb
Method: DFT, PBE
State: optimized geometry

Output
E_tot in eV per atom: -2.7813
Energy of formation from the pure elements in kcal/mol of atoms: 34.0
Energy above the most stable polymorph in this dataset in meV/atom: 1157

```
data_KMgNb
_chemical_formula_sum 'K4 Mg4 Nb4'
_cell_length_a 9.585
_cell_length_b 6.599
_cell_length_c 6.159
_cell_angle_alpha 90.00
_cell_angle_beta 90.00
_cell_angle_gamma 90.00
_symmetry_space_group_name_H-M 'P n m a'
_symmetry_Int_Tables_number 62
loop_
_symmetry_equiv_pos_as_xyz
'x,y,z'
'-x,-y,-z'
'-x+1/2,-y,z+1/2'
'x+1/2,y,-z+1/2'
'x+1/2,-y+1/2,-z+1/2'
'-x+1/2,y+1/2,z+1/2'
'-x,y+1/2,-z'
'x,-y+1/2,z'
loop_
_atom_site_label
_atom_site_type_symbol
_atom_site_fract_x
_atom_site_fract_y
_atom_site_fract_z
K1 K 0.126 0.250 0.001
Mg1 Mg 0.000 0.000 0.500
Nb1 Nb 0.235 0.750 0.001
```


Material: KMg6Nb
Method: DFT, PBE
State: optimized geometry

Output
E_tot in eV per atom: -2.3009
Energy of formation from the pure elements in kcal/mol of atoms: 6.7
Energy above the most stable polymorph in this dataset in meV/atom: 4

```
data_KMg6Nb
_chemical_formula_sum 'K1 Mg6 Nb1'
_cell_length_a 6.5241
_cell_length_b 6.5241
_cell_length_c 5.1315
_cell_angle_alpha 90.00
_cell_angle_beta 90.00
_cell_angle_gamma 120.00
_symmetry_space_group_name_H-M 'P -6 m 2'
_symmetry_Int_Tables_number 187
_symmetry_space_group_name_Hall 'P -6 2'
loop_
_atom_site_label
_atom_site_type_symbol
_atom_site_fract_x
_atom_site_fract_y
_atom_site_fract_z
K1 K 0.0000 0.0000 0.0000
Mg1 Mg 0.0248 0.5124 0.0000
Mg2 Mg 0.3496 0.1748 0.5000
Nb1 Nb 0.3333 0.6667 0.5000
```


Material: KMgNb
Method: DFT, PBE
State: optimized geometry

Output
E_tot in eV per atom: -3.0191
Energy of formation from the pure elements in kcal/mol of atoms: 28.5
Energy above the most stable polymorph in this dataset in meV/atom: 919

```
data_KMgNb
_chemical_formula_sum 'K2 Mg2 Nb2'
_cell_length_a 5.482
_cell_length_b 5.482
_cell_length_c 7.249
_cell_angle_alpha 90.00
_cell_angle_beta 90.00
_cell_angle_gamma 90.00
_symmetry_space_group_name_H-M 'P 4/n m m'
_symmetry_Int_Tables_number 129
loop_
_symmetry_equiv_pos_as_xyz
'x,y,z'
'-x,-y,-z'
'-y+1/2,x,z'
'y+1/2,-x,-z'
'-x+1/2,-y+1/2,z'
'x+1/2,y+1/2,-z'
'y,-x+1/2,z'
'-y,x+1/2,-z'
'x+1/2,-y,-z'
'-x+1/2,y,z'
'-y,-x,-z'
'y,x,z'
'-x,y+1/2,-z'
'x,-y+1/2,z'
'y+1/2,x+1/2,-z'
'-y+1/2,-x+1/2,z'
loop_
_atom_site_label
_atom_site_type_symbol
_atom_site_fract_x
_atom_site_fract_y
_atom_site_fract_z
K1 K 0.250 0.250 0.101
Mg1 Mg 0.250 0.750 0.500
Nb1 Nb 0.250 0.250 0.568
```